1.
! PBE Tb4Y6Ho, optimized geometry; values from VASP
! ΔH_f (0 K) = 0.431 eV/atom
! energy above the most stable polymorph in this dataset = 7.092 kcal/mol of atoms
! space group = No. 121
! density = 5.9 g/cm3
! final energy = -5.1950 eV/atom
! N(E_F) = 12.9 states/eV/cell
&SYSTEM
  ibrav = 0, nat = 11, ntyp = 3
/
ATOMIC_SPECIES
Tb 158.93 Tb.upf
Y 88.91 Y.upf
Ho 164.93 Ho.upf
ATOMIC_POSITIONS crystal
Tb 0.091 0.755 0.846
Tb 0.909 0.909 0.154
Tb 0.755 0.091 0.846
Tb 0.245 0.245 0.154
Y 0.922 0.450 0.372
Y 0.450 0.922 0.372
Y 0.550 0.550 0.628
Y 0.000 0.500 0.000
Y 0.078 0.078 0.628
Y 0.500 0.000 0.000
Ho 0.500 0.500 0.000
CELL_PARAMETERS angstrom
-4.097 4.446 -4.535
-4.812 -5.695 -1.237
0.819 2.568 8.076

=====

2.
! PBE Tb2Y3Ho, optimized geometry; values from VASP
! ΔH_f (0 K) = 0.118 eV/atom
! energy above the most stable polymorph in this dataset = 2.221 kcal/mol of atoms
! space group = No. 12
! density = 6.4 g/cm3
! final energy = -5.4201 eV/atom
! N(E_F) = 20.3 states/eV/cell
&SYSTEM
  ibrav = 0, nat = 12, ntyp = 3
/
ATOMIC_SPECIES
Tb 158.93 Tb.upf
Y 88.91 Y.upf
Ho 164.93 Ho.upf
ATOMIC_POSITIONS crystal
Tb 0.819 0.480 0.883
Tb 0.181 0.520 0.117
Tb 0.658 0.154 0.531
Tb 0.342 0.846 0.469
Y 0.038 0.138 0.785
Y 0.962 0.862 0.215
Y 0.599 0.827 0.975
Y 0.401 0.173 0.025
Y 0.739 0.814 0.707
Y 0.261 0.186 0.293
Ho 0.437 0.482 0.643
Ho 0.563 0.518 0.357
CELL_PARAMETERS angstrom
3.505 0.000 0.000
1.752 8.876 0.166
1.752 2.107 12.619

=====

3.
! PBE Tb3Y6Ho2, optimized geometry; values from VASP
! ΔH_f (0 K) = 0.115 eV/atom
! energy above the most stable polymorph in this dataset = 2.140 kcal/mol of atoms
! space group = No. 166
! density = 6.3 g/cm3
! final energy = -5.5060 eV/atom
! N(E_F) = 21.2 states/eV/cell
&SYSTEM
  ibrav = 0, nat = 11, ntyp = 3
/
ATOMIC_SPECIES
Tb 158.93 Tb.upf
Y 88.91 Y.upf
Ho 164.93 Ho.upf
ATOMIC_POSITIONS crystal
Tb 0.000 0.000 0.000
Tb 0.283 0.283 0.151
Tb 0.717 0.717 0.849
Y 0.091 0.091 0.726
Y 0.909 0.909 0.274
Y 0.187 0.187 0.440
Y 0.813 0.813 0.560
Y 0.374 0.374 0.877
Y 0.626 0.626 0.123
Ho 0.460 0.460 0.621
Ho 0.540 0.540 0.379
CELL_PARAMETERS angstrom
-5.555 0.990 -0.115
-3.155 -1.086 4.551
-0.861 11.919 5.746

=====

4.
! PBE TbY4Ho3, optimized geometry; values from VASP
! ΔH_f (0 K) = 0.002 eV/atom
! energy above the most stable polymorph in this dataset = 0.000 kcal/mol of atoms
! space group = No. 31
! density = 6.5 g/cm3
! final energy = -5.5252 eV/atom
! N(E_F) = 28.2 states/eV/cell
&SYSTEM
  ibrav = 0, nat = 16, ntyp = 3
/
ATOMIC_SPECIES
Tb 158.93 Tb.upf
Y 88.91 Y.upf
Ho 164.93 Ho.upf
ATOMIC_POSITIONS crystal
Tb 0.150 0.377 0.000
Tb 0.650 0.623 0.500
Y 0.146 0.874 0.000
Y 0.646 0.127 0.000
Y 0.983 0.126 0.250
Y 0.483 0.874 0.250
Y 0.146 0.873 0.500
Y 0.646 0.126 0.500
Y 0.483 0.874 0.750
Y 0.983 0.126 0.750
Ho 0.649 0.623 0.000
Ho 0.980 0.624 0.250
Ho 0.480 0.376 0.250
Ho 0.149 0.377 0.500
Ho 0.480 0.376 0.750
Ho 0.980 0.624 0.750
CELL_PARAMETERS angstrom
6.288 0.000 0.000
0.000 7.277 0.000
0.000 0.000 11.247

=====

5.
! PBE Tb7Y2Ho, optimized geometry; values from VASP
! ΔH_f (0 K) = 0.019 eV/atom
! energy above the most stable polymorph in this dataset = 0.000 kcal/mol of atoms
! space group = No. 2
! density = 7.6 g/cm3
! final energy = -4.9732 eV/atom
! N(E_F) = 14.5 states/eV/cell
&SYSTEM
  ibrav = 0, nat = 10, ntyp = 3
/
ATOMIC_SPECIES
Tb 158.93 Tb.upf
Y 88.91 Y.upf
Ho 164.93 Ho.upf
ATOMIC_POSITIONS crystal
Tb 0.000 0.599 0.400
Tb 0.000 0.401 0.600
Tb 0.500 0.701 0.801
Tb 0.500 0.299 0.199
Tb 0.001 0.799 0.199
Tb 0.999 0.201 0.801
Tb 0.500 0.500 0.000
Y 0.500 0.899 0.600
Y 0.500 0.101 0.400
Ho 0.000 0.000 0.000
CELL_PARAMETERS angstrom
6.096 -0.200 0.942
-0.970 7.523 -5.565
1.650 -2.418 8.950

=====

6.
! PBE Tb3Y2Ho, optimized geometry; values from VASP
! ΔH_f (0 K) = 0.001 eV/atom
! space group = No. 63
! density = 7.1 g/cm3
! final energy = -5.2315 eV/atom
! N(E_F) = 15.5 states/eV/cell
&SYSTEM
  ibrav = 0, nat = 12, ntyp = 3
/
ATOMIC_SPECIES
Tb 158.93 Tb.upf
Y 88.91 Y.upf
Ho 164.93 Ho.upf
ATOMIC_POSITIONS crystal
Tb 0.470 0.166 0.834
Tb 0.970 0.166 0.834
Tb 0.470 0.500 0.500
Tb 0.970 0.500 0.500
Tb 0.970 0.834 0.166
Tb 0.470 0.834 0.166
Y 0.720 0.167 0.500
Y 0.220 0.500 0.833
Y 0.220 0.833 0.500
Y 0.720 0.500 0.167
Ho 0.720 0.834 0.834
Ho 0.220 0.166 0.166
CELL_PARAMETERS angstrom
-9.305 -5.441 4.037
3.537 -4.775 1.716
-1.021 4.664 3.932

=====

7.
! PBE Tb3Y5Ho4, optimized geometry; values from VASP
! ΔH_f (0 K) = 0.021 eV/atom
! energy above the most stable polymorph in this dataset = 0.000 kcal/mol of atoms
! space group = No. 2
! density = 6.9 g/cm3
! final energy = -5.3556 eV/atom
! N(E_F) = 16.3 states/eV/cell
&SYSTEM
  ibrav = 0, nat = 12, ntyp = 3
/
ATOMIC_SPECIES
Tb 158.93 Tb.upf
Y 88.91 Y.upf
Ho 164.93 Ho.upf
ATOMIC_POSITIONS crystal
Tb 0.585 0.167 0.334
Tb 0.000 0.000 0.500
Tb 0.415 0.833 0.666
Y 0.334 0.666 0.832
Y 0.500 0.000 0.500
Y 0.750 0.500 0.000
Y 0.250 0.500 0.000
Y 0.666 0.334 0.168
Ho 0.917 0.833 0.667
Ho 0.835 0.669 0.834
Ho 0.165 0.331 0.166
Ho 0.083 0.167 0.333
CELL_PARAMETERS angstrom
6.859 -0.381 1.832
-5.186 7.431 -6.639
4.069 -3.852 11.515

=====

8.
! PBE Tb4Y3Ho, optimized geometry; values from VASP
! ΔH_f (0 K) = 0.006 eV/atom
! energy above the most stable polymorph in this dataset = 0.000 kcal/mol of atoms
! space group = No. 31
! density = 6.8 g/cm3
! final energy = -5.3049 eV/atom
! N(E_F) = 27.6 states/eV/cell
&SYSTEM
  ibrav = 0, nat = 16, ntyp = 3
/
ATOMIC_SPECIES
Tb 158.93 Tb.upf
Y 88.91 Y.upf
Ho 164.93 Ho.upf
ATOMIC_POSITIONS crystal
Tb 0.150 0.875 0.000
Tb 0.649 0.124 0.000
Tb 0.980 0.125 0.249
Tb 0.480 0.875 0.251
Tb 0.149 0.876 0.500
Tb 0.650 0.125 0.500
Tb 0.480 0.875 0.749
Tb 0.980 0.125 0.751
Y 0.646 0.625 0.000
Y 0.981 0.625 0.250
Y 0.481 0.375 0.250
Y 0.146 0.375 0.500
Y 0.481 0.375 0.750
Y 0.981 0.625 0.750
Ho 0.146 0.374 0.000
Ho 0.646 0.626 0.500
CELL_PARAMETERS angstrom
-4.600 3.990 1.631
-4.067 -5.612 2.256
4.461 0.920 10.330

=====

9.
! PBE TbY4Ho10, optimized geometry; values from VASP
! ΔH_f (0 K) = 0.755 eV/atom
! space group = No. 87
! density = 6.4 g/cm3
! final energy = -4.3294 eV/atom
! N(E_F) = 16.0 states/eV/cell
&SYSTEM
  ibrav = 0, nat = 15, ntyp = 3
/
ATOMIC_SPECIES
Tb 158.93 Tb.upf
Y 88.91 Y.upf
Ho 164.93 Ho.upf
ATOMIC_POSITIONS crystal
Tb 0.000 0.000 0.000
Y 0.400 0.801 0.400
Y 0.799 0.600 0.801
Y 0.201 0.400 0.199
Y 0.600 0.199 0.600
Ho 0.250 0.500 0.500
Ho 0.652 0.299 0.900
Ho 0.050 0.100 0.299
Ho 0.449 0.900 0.701
Ho 0.850 0.701 0.100
Ho 0.348 0.701 0.100
Ho 0.750 0.500 0.500
Ho 0.150 0.299 0.900
Ho 0.551 0.100 0.299
Ho 0.950 0.900 0.701
CELL_PARAMETERS angstrom
-7.374 1.276 1.709
-4.236 -7.189 4.331
-1.366 3.856 8.465

=====

10.
! PBE TbYHo2, optimized geometry; values from VASP
! ΔH_f (0 K) = 0.215 eV/atom
! energy above the most stable polymorph in this dataset = 4.824 kcal/mol of atoms
! space group = No. 13
! density = 7.3 g/cm3
! final energy = -4.8476 eV/atom
! N(E_F) = 31.2 states/eV/cell
&SYSTEM
  ibrav = 0, nat = 16, ntyp = 3
/
ATOMIC_SPECIES
Tb 158.93 Tb.upf
Y 88.91 Y.upf
Ho 164.93 Ho.upf
ATOMIC_POSITIONS crystal
Tb 0.125 0.488 0.613
Tb 0.875 0.512 0.387
Tb 0.125 0.012 0.887
Tb 0.875 0.988 0.113
Y 0.375 0.012 0.386
Y 0.625 0.988 0.614
Y 0.375 0.488 0.114
Y 0.625 0.512 0.886
Ho 0.625 0.013 0.889
Ho 0.375 0.987 0.111
Ho 0.625 0.487 0.611
Ho 0.375 0.513 0.389
Ho 0.875 0.487 0.112
Ho 0.125 0.513 0.888
Ho 0.875 0.013 0.388
Ho 0.125 0.987 0.612
CELL_PARAMETERS angstrom
-0.605 -5.147 -4.582
6.900 -0.535 -0.311
-7.100 -6.768 8.540

=====

11.
! PBE Tb3YHo5, optimized geometry; values from VASP
! ΔH_f (0 K) = 0.072 eV/atom
! energy above the most stable polymorph in this dataset = 0.000 kcal/mol of atoms
! space group = No. 15
! density = 8.2 g/cm3
! final energy = -4.7325 eV/atom
! N(E_F) = 30.5 states/eV/cell
&SYSTEM
  ibrav = 0, nat = 18, ntyp = 3
/
ATOMIC_SPECIES
Tb 158.93 Tb.upf
Y 88.91 Y.upf
Ho 164.93 Ho.upf
ATOMIC_POSITIONS crystal
Tb 0.000 0.000 0.000
Tb 0.667 0.333 0.333
Tb 0.000 0.000 0.500
Tb 0.333 0.667 0.667
Tb 0.666 0.333 0.833
Tb 0.334 0.667 0.167
Y 0.835 0.000 0.750
Y 0.165 0.000 0.250
Ho 0.170 0.000 0.750
Ho 0.494 0.664 0.917
Ho 0.835 0.331 0.083
Ho 0.506 0.336 0.083
Ho 0.505 0.669 0.417
Ho 0.830 0.000 0.250
Ho 0.169 0.664 0.417
Ho 0.831 0.336 0.583
Ho 0.495 0.331 0.583
Ho 0.165 0.669 0.917
CELL_PARAMETERS angstrom
9.683 0.000 0.000
-4.841 4.213 -1.479
0.000 2.797 12.890

=====

12.
! PBE Tb3Y2Ho3, optimized geometry; values from VASP
! ΔH_f (0 K) = 0.021 eV/atom
! energy above the most stable polymorph in this dataset = 0.362 kcal/mol of atoms
! space group = No. 71
! density = 7.5 g/cm3
! final energy = -5.0484 eV/atom
! N(E_F) = 11.3 states/eV/cell
&SYSTEM
  ibrav = 0, nat = 8, ntyp = 3
/
ATOMIC_SPECIES
Tb 158.93 Tb.upf
Y 88.91 Y.upf
Ho 164.93 Ho.upf
ATOMIC_POSITIONS crystal
Tb 0.124 0.124 0.248
Tb 0.000 0.500 0.000
Tb 0.876 0.876 0.752
Y 0.750 0.250 0.500
Y 0.250 0.750 0.500
Ho 0.624 0.624 0.249
Ho 0.376 0.376 0.751
Ho 0.500 0.000 0.000
CELL_PARAMETERS angstrom
5.019 0.000 0.000
0.000 5.019 0.001
-2.509 -2.507 10.047